# Cs2SrZnCl PBEsol relaxed
data_Cs2SrZnCl
_chemical_formula_sum 'Cs2 Sr1 Zn1 Cl1'
_cell_length_a 5.440
_cell_length_b 8.495
_cell_length_c 8.495
_cell_angle_alpha 90.00
_cell_angle_beta 90.00
_cell_angle_gamma 90.00
_space_group_name_H-M_alt 'P 1'
_space_group_IT_number 1
loop_
_space_group_symop_operation_xyz
'x,y,z'
loop_
_atom_site_label
_atom_site_fract_x
_atom_site_fract_y
_atom_site_fract_z
Cs1 0.000 0.000 0.500
Cs2 0.000 0.500 0.000
Sr1 0.000 0.000 0.000
Zn1 0.500 0.500 0.500
Cl1 0.500 0.000 0.000
# ΔE_f (raw) = -1.04 eV/f.u.
# D(E_F) = 3.9 states/eV/f.u.
# Space-group type = P4/mmm, No. 123
# Mass density = 1.92 g/cm3

# VReO4 PBEsol relaxed
data_VReO4
_chemical_formula_sum 'V1 Re1 O4'
_cell_length_a 2.679
_cell_length_b 4.754
_cell_length_c 4.754
_cell_angle_alpha 91.23
_cell_angle_beta 90.00
_cell_angle_gamma 90.00
_space_group_name_H-M_alt 'P 1'
_space_group_IT_number 1
loop_
_space_group_symop_operation_xyz
'x,y,z'
loop_
_atom_site_label
_atom_site_fract_x
_atom_site_fract_y
_atom_site_fract_z
Re1 0.000 0.000 0.000
O1 0.500 0.220 0.780
O2 0.500 0.780 0.220
O3 0.000 0.291 0.291
O4 0.000 0.709 0.709
V1 0.500 0.500 0.500
# ΔE_f (raw) = -11.43 eV/f.u.
# D(E_F) = 2.4 states/eV/f.u.
# Distance to the lowest polymorph of the same formula = 0.027 eV per atom
# Space-group type = Cmmm, No. 65
# Mass density = 8.26 g/cm3

# SrCaMn2O6 PBEsol relaxed
data_SrCaMn2O6
_chemical_formula_sum 'Sr1 Ca1 Mn2 O6'
_cell_length_a 5.253
_cell_length_b 5.331
_cell_length_c 5.253
_cell_angle_alpha 60.48
_cell_angle_beta 90.00
_cell_angle_gamma 119.52
_space_group_name_H-M_alt 'P 1'
_space_group_IT_number 1
loop_
_space_group_symop_operation_xyz
'x,y,z'
loop_
_atom_site_label
_atom_site_fract_x
_atom_site_fract_y
_atom_site_fract_z
Sr1 0.000 0.000 0.000
Ca1 0.500 0.000 0.500
Mn1 0.750 0.500 0.750
Mn2 0.250 0.500 0.250
O1 0.500 0.000 0.000
O2 0.000 0.000 0.500
O3 0.056 0.521 0.535
O4 0.465 0.521 0.944
O5 0.535 0.479 0.465
O6 0.944 0.479 0.056
# ΔE_f (raw) = -22.75 eV/f.u.
# D(E_F) = 3.0 states/eV/f.u.
# Distance to the lowest polymorph of the same formula = 0.000 eV per atom
# Space-group type = I-42m, No. 121
# Mass density = 5.25 g/cm3